Record 1
PaPAuO | PBE-GGA | optimized geometry

a = 4.347 Å, b = 6.216 Å, c = 6.020 Å
α = 90.00°, β = 90.00°, γ = 90.00°
Fractional positions:
P: 0.000 0.745 0.919
O: 0.500 0.679 0.440
Au: 0.500 0.864 0.976
Au: 0.500 0.136 0.476
P: 0.000 0.255 0.419
O: 0.500 0.321 0.940
Pa: 0.000 0.269 0.919
Pa: 0.000 0.731 0.419

Record 2
PaPAuO | PBE-GGA | optimized geometry

a = 5.813 Å, b = 5.813 Å, c = 4.507 Å
α = 90.00°, β = 90.00°, γ = 90.00°
Fractional positions:
O: 0.500 0.500 0.000
P: 0.500 0.000 0.491
O: 0.000 0.000 0.000
Pa: 0.000 0.000 0.500
Pa: 0.500 0.500 0.500
P: 0.000 0.500 0.509
Au: 0.500 0.000 0.990
Au: 0.000 0.500 0.010

Record 3
PPtAuO | PBE-GGA | optimized geometry

a = 4.278 Å, b = 4.278 Å, c = 8.052 Å
α = 90.00°, β = 90.00°, γ = 90.00°
Fractional positions:
Au: 0.000 0.000 0.500
O: 0.000 0.000 0.000
Au: 0.500 0.500 0.500
Pt: 0.500 0.000 0.064
P: 0.000 0.500 0.661
O: 0.500 0.500 0.000
Pt: 0.000 0.500 0.936
P: 0.500 0.000 0.339

Record 4
PPtAuO | PBE-GGA | optimized geometry

a = 3.406 Å, b = 5.779 Å, c = 6.750 Å
α = 90.00°, β = 90.00°, γ = 90.00°
Fractional positions:
O: 0.500 0.815 0.280
O: 0.500 0.185 0.780
Pt: 0.500 0.041 0.507
Au: 0.000 0.661 0.563
P: 0.000 0.719 0.905
Pt: 0.500 0.959 0.007
Au: 0.000 0.339 0.063
P: 0.000 0.281 0.405

Record 5
PPtAuO | PBE-GGA | optimized geometry

a = 4.272 Å, b = 4.272 Å, c = 7.721 Å
α = 90.00°, β = 90.00°, γ = 90.00°
Fractional positions:
O: 0.000 0.000 0.000
O: 0.500 0.500 0.000
Pt: 0.000 0.000 0.500
P: 0.500 0.000 0.356
Au: 0.500 0.000 0.947
P: 0.000 0.500 0.644
Pt: 0.500 0.500 0.500
Au: 0.000 0.500 0.053

Record 6
PPtAuO | PBE-GGA | optimized geometry

a = 3.872 Å, b = 6.110 Å, c = 5.765 Å
α = 90.00°, β = 90.00°, γ = 90.00°
Fractional positions:
Au: 0.500 0.038 0.437
Pt: 0.000 0.622 0.505
Au: 0.500 0.962 0.937
O: 0.500 0.665 0.429
P: 0.000 0.260 0.383
Pt: 0.000 0.378 0.005
O: 0.500 0.335 0.929
P: 0.000 0.740 0.883

Number 1: final energy -6.783 eV per atom. Number 2: final energy -6.559 eV per atom. Number 3: final energy -4.789 eV per atom. Number 4: final energy -5.081 eV per atom. Number 5: final energy -4.812 eV per atom. Number 6: final energy -4.963 eV per atom.